#w
{
  "formula": "KBeZn2Pt",
  "functional": "PBE",
  "state": "relaxed",
  "cell": [[-2.3965, -0.7732, -3.8944], [3.5837, -1.9029, -1.8275], [-1.3478, -4.1203, 1.6474]],
  "species": ["Pt", "K", "Zn", "Zn", "Be"],
  "frac_coords": [[0.0000, 0.5000, 0.0000], [0.5000, 0.5000, 0.5000], [0.0000, 0.0000, 0.5000], [0.5000, 0.0000, 0.0000], [0.0000, 0.0000, 0.0000]],
  "crystal_system": "tetragonal",
  "total_magnetization_mub_per_cell": 0.00
}


#x
{
  "formula": "KBeZn2Pt",
  "functional": "PBE",
  "state": "relaxed",
  "cell": [[-0.8187, 4.8483, 0.5921], [-4.1429, -0.3713, -2.6880], [-2.3238, -0.8441, 3.6981]],
  "species": ["Be", "Pt", "Zn", "Zn", "K"],
  "frac_coords": [[0.0000, 0.0000, 0.5000], [0.0000, 0.0000, 0.0000], [0.5000, 0.0000, 0.0000], [0.0000, 0.5000, 0.0000], [0.5000, 0.5000, 0.5000]],
  "crystal_system": "tetragonal",
  "total_magnetization_mub_per_cell": 0.00
}


Energies relative to the most stable structure, in kJ/mol of atoms: #w 25.1; #x 0.0.


#w
{
  "formula": "KRbBe3",
  "functional": "PBE",
  "state": "relaxed",
  "cell": [[6.0765, 0.0000, 0.0000], [0.0000, 6.0765, 0.0000], [0.0000, 0.0000, 6.0765]],
  "species": ["Be", "Be", "Be", "Rb", "K"],
  "frac_coords": [[0.0000, 0.5000, 0.0000], [0.0000, 0.0000, 0.5000], [0.5000, 0.0000, 0.0000], [0.0000, 0.0000, 0.0000], [0.5000, 0.5000, 0.5000]],
  "crystal_system": "cubic",
  "total_magnetization_mub_per_cell": 0.00
}


#x
{
  "formula": "KRbBe3",
  "functional": "PBE",
  "state": "relaxed",
  "cell": [[5.9390, 0.0000, 0.0000], [0.0000, 5.9390, 0.0000], [0.0000, 0.0000, 5.9390]],
  "species": ["Be", "Be", "Be", "K", "Rb"],
  "frac_coords": [[0.0000, 0.0000, 0.5000], [0.0000, 0.5000, 0.0000], [0.5000, 0.0000, 0.0000], [0.0000, 0.0000, 0.0000], [0.5000, 0.5000, 0.5000]],
  "crystal_system": "cubic",
  "total_magnetization_mub_per_cell": 0.00
}


Energies relative to the most stable structure, in kJ/mol of atoms: #w 8.4; #x 0.0.


#w
{
  "formula": "KRb3Be",
  "functional": "PBE",
  "state": "relaxed",
  "cell": [[-6.8062, 1.7142, -0.3795], [-1.7555, -6.6177, 1.5909], [0.0307, 1.6352, 6.8360]],
  "species": ["Be", "Rb", "Rb", "Rb", "K"],
  "frac_coords": [[0.0000, 0.0000, 0.0000], [0.5000, 0.0000, 0.0000], [0.0000, 0.0000, 0.5000], [0.0000, 0.5000, 0.0000], [0.5000, 0.5000, 0.5000]],
  "crystal_system": "cubic",
  "total_magnetization_mub_per_cell": 0.00
}


#x
{
  "formula": "KRb3Be",
  "functional": "PBE",
  "state": "relaxed",
  "cell": [[8.0471, 0.0000, 0.0000], [0.0000, 8.0471, 0.0000], [0.0000, 0.0000, 8.0471]],
  "species": ["Be", "Rb", "Rb", "Rb", "K"],
  "frac_coords": [[0.5000, 0.5000, 0.5000], [0.5000, 0.0000, 0.0000], [0.0000, 0.5000, 0.0000], [0.0000, 0.0000, 0.5000], [0.0000, 0.0000, 0.0000]],
  "crystal_system": "cubic",
  "total_magnetization_mub_per_cell": 0.00
}


Energies relative to the most stable structure, in kJ/mol of atoms: #w 0.0; #x 36.8.


#w
{
  "formula": "K3RbBe",
  "functional": "PBE",
  "state": "relaxed",
  "cell": [[7.9659, 0.0000, 0.0000], [0.0000, 7.9659, 0.0000], [0.0000, 0.0000, 7.9659]],
  "species": ["Be", "K", "K", "K", "Rb"],
  "frac_coords": [[0.5000, 0.5000, 0.5000], [0.0000, 0.0000, 0.5000], [0.5000, 0.0000, 0.0000], [0.0000, 0.5000, 0.0000], [0.0000, 0.0000, 0.0000]],
  "crystal_system": "cubic",
  "total_magnetization_mub_per_cell": 0.00
}


#x
{
  "formula": "K3RbBe",
  "functional": "PBE",
  "state": "relaxed",
  "cell": [[-2.4723, 5.9755, -1.9470], [-6.0884, -1.7584, 2.3342], [1.5583, 2.6098, 6.0308]],
  "species": ["Be", "K", "K", "K", "Rb"],
  "frac_coords": [[0.0000, 0.0000, 0.0000], [0.0000, 0.5000, 0.0000], [0.0000, 0.0000, 0.5000], [0.5000, 0.0000, 0.0000], [0.5000, 0.5000, 0.5000]],
  "crystal_system": "cubic",
  "total_magnetization_mub_per_cell": 0.00
}


Energies relative to the most stable structure, in kJ/mol of atoms: #w 46.7; #x 0.0.


#w
{
  "formula": "KBe3Re",
  "functional": "PBE",
  "state": "relaxed",
  "cell": [[-1.3363, 4.2372, 0.8600], [-4.2397, -1.1078, -1.1301], [-0.8476, -1.1394, 4.2968]],
  "species": ["K", "Be", "Be", "Be", "Re"],
  "frac_coords": [[0.5000, 0.5000, 0.5000], [0.5000, 0.0000, 0.0000], [0.0000, 0.0000, 0.5000], [0.0000, 0.5000, 0.0000], [0.0000, 0.0000, 0.0000]],
  "crystal_system": "cubic",
  "total_magnetization_mub_per_cell": 0.00
}


#x
{
  "formula": "KBe3Re",
  "functional": "PBE",
  "state": "relaxed",
  "cell": [[-0.2326, 0.2189, 4.1463], [-4.1363, -0.3745, -0.2123], [0.3623, -4.1359, 0.2387]],
  "species": ["Be", "Be", "Be", "K", "Re"],
  "frac_coords": [[0.0000, 0.5000, 0.0000], [0.5000, 0.0000, 0.0000], [0.0000, 0.0000, 0.5000], [0.0000, 0.0000, 0.0000], [0.5000, 0.5000, 0.5000]],
  "crystal_system": "cubic",
  "total_magnetization_mub_per_cell": 1.58
}


Energies relative to the most stable structure, in kJ/mol of atoms: #w 0.0; #x 174.0.


#w
{
  "formula": "KBe3Rh",
  "functional": "PBE",
  "state": "relaxed",
  "cell": [[4.2819, 0.0000, 0.0000], [0.0000, 4.2819, 0.0000], [0.0000, 0.0000, 4.2819]],
  "species": ["Be", "Be", "Be", "K", "Rh"],
  "frac_coords": [[0.0000, 0.5000, 0.0000], [0.0000, 0.0000, 0.5000], [0.5000, 0.0000, 0.0000], [0.0000, 0.0000, 0.0000], [0.5000, 0.5000, 0.5000]],
  "crystal_system": "cubic",
  "total_magnetization_mub_per_cell": 0.00
}


#x
{
  "formula": "KBe3Rh",
  "functional": "PBE",
  "state": "relaxed",
  "cell": [[-0.6681, -2.6885, 3.4524], [-0.8592, -3.3438, -2.7702], [4.2905, -1.0883, -0.0172]],
  "species": ["Be", "Be", "Be", "K", "Rh"],
  "frac_coords": [[0.0000, 0.5000, 0.0000], [0.5000, 0.0000, 0.0000], [0.0000, 0.0000, 0.5000], [0.5000, 0.5000, 0.5000], [0.0000, 0.0000, 0.0000]],
  "crystal_system": "cubic",
  "total_magnetization_mub_per_cell": 0.00
}


Energies relative to the most stable structure, in kJ/mol of atoms: #w 219.6; #x 0.0.


#w
{
  "formula": "K2BeS",
  "functional": "PBE",
  "state": "relaxed",
  "cell": [[-0.3546, -4.1743, 3.4689], [-2.0383, 0.7708, 4.9834], [-4.8670, -2.0538, 1.2952]],
  "species": ["Be", "S", "K", "K"],
  "frac_coords": [[0.0000, 0.0000, 0.0000], [0.5000, 0.5000, 0.5000], [0.2500, 0.2500, 0.2500], [0.7500, 0.7500, 0.7500]],
  "crystal_system": "cubic",
  "total_magnetization_mub_per_cell": 0.00
}


#x
{
  "formula": "K2BeS",
  "functional": "PBE",
  "state": "relaxed",
  "cell": [[-0.1746, 6.0960, -0.5189], [-4.8926, 0.1726, 3.6734], [3.0406, 3.9227, 8.9643]],
  "species": ["K", "K", "K", "K", "Be", "Be", "S", "S"],
  "frac_coords": [[0.0647, 0.6250, 0.2500], [0.8750, 0.9353, 0.7500], [0.3750, 0.3147, 0.7500], [0.6853, 0.1250, 0.2500], [0.5000, 0.5000, 0.0000], [0.2500, 0.7500, 0.5000], [0.7500, 0.2500, 0.5000], [0.0000, 0.0000, 0.0000]],
  "crystal_system": "tetragonal",
  "total_magnetization_mub_per_cell": 0.00
}


Energies relative to the most stable structure, in kJ/mol of atoms: #w 0.0; #x 25.5.


#w
{
  "formula": "KBeSb3",
  "functional": "PBE",
  "state": "relaxed",
  "cell": [[-1.8702, -1.3547, 4.6179], [-1.3467, -4.6091, -1.8975], [4.6203, -1.8918, 1.3162]],
  "species": ["Sb", "Sb", "Sb", "Be", "K"],
  "frac_coords": [[0.0000, 0.0000, 0.5000], [0.5000, 0.0000, 0.0000], [0.0000, 0.5000, 0.0000], [0.0000, 0.0000, 0.0000], [0.5000, 0.5000, 0.5000]],
  "crystal_system": "cubic",
  "total_magnetization_mub_per_cell": 0.00
}


#x
{
  "formula": "KBeSb3",
  "functional": "PBE",
  "state": "relaxed",
  "cell": [[-4.0694, 2.0620, -3.6279], [-4.1493, -1.4599, 3.8244], [0.4442, 5.2526, 2.4872]],
  "species": ["Sb", "Sb", "Sb", "K", "Be"],
  "frac_coords": [[0.0000, 0.5000, 0.0000], [0.0000, 0.0000, 0.5000], [0.5000, 0.0000, 0.0000], [0.0000, 0.0000, 0.0000], [0.5000, 0.5000, 0.5000]],
  "crystal_system": "cubic",
  "total_magnetization_mub_per_cell": 0.00
}


Energies relative to the most stable structure, in kJ/mol of atoms: #w 0.0; #x 150.3.


#w
{
  "formula": "KBe3Sb",
  "functional": "PBE",
  "state": "relaxed",
  "cell": [[-0.9995, -4.7898, -0.8927], [-0.2429, -0.8611, 4.8926], [-4.8662, 1.0268, -0.0608]],
  "species": ["Be", "Be", "Be", "K", "Sb"],
  "frac_coords": [[0.0000, 0.5000, 0.0000], [0.5000, 0.0000, 0.0000], [0.0000, 0.0000, 0.5000], [0.5000, 0.5000, 0.5000], [0.0000, 0.0000, 0.0000]],
  "crystal_system": "cubic",
  "total_magnetization_mub_per_cell": 0.00
}


#x
{
  "formula": "KBe3Sb",
  "functional": "PBE",
  "state": "relaxed",
  "cell": [[-2.3606, 4.3690, -0.7431], [-4.2477, -1.9904, 1.7909], [1.2637, 1.4705, 4.6317]],
  "species": ["Sb", "K", "Be", "Be", "Be"],
  "frac_coords": [[0.5000, 0.5000, 0.5000], [0.0000, 0.0000, 0.0000], [0.0000, 0.0000, 0.5000], [0.0000, 0.5000, 0.0000], [0.5000, 0.0000, 0.0000]],
  "crystal_system": "cubic",
  "total_magnetization_mub_per_cell": 0.00
}


Energies relative to the most stable structure, in kJ/mol of atoms: #w 0.0; #x 103.9.


#w
{
  "formula": "KBe2Sb2",
  "functional": "PBE",
  "state": "relaxed",
  "cell": [[-2.5277, 3.6512, 1.2868], [-0.0925, -1.5933, 4.3392], [3.0885, 3.6959, 3.8860]],
  "species": ["Sb", "Sb", "K", "Be", "Be"],
  "frac_coords": [[0.2500, 0.7500, 0.5000], [0.7500, 0.2500, 0.5000], [0.0000, 0.0000, 0.0000], [0.3916, 0.3916, 0.2167], [0.6084, 0.6084, 0.7833]],
  "crystal_system": "tetragonal",
  "total_magnetization_mub_per_cell": 0.00
}


#x
{
  "formula": "KBe2Sb2",
  "functional": "PBE",
  "state": "relaxed",
  "cell": [[8.0891, 0.0000, 0.0000], [0.0000, 8.0891, 0.0000], [0.0000, 0.0000, 3.5881]],
  "species": ["Sb", "Sb", "Sb", "Sb", "Be", "Be", "Be", "Be", "K", "K"],
  "frac_coords": [[0.6414, 0.8586, 0.5000], [0.1414, 0.6414, 0.5000], [0.3586, 0.1414, 0.5000], [0.8586, 0.3586, 0.5000], [0.9061, 0.5939, 0.0000], [0.0939, 0.4061, 0.0000], [0.4061, 0.9061, 0.0000], [0.5939, 0.0939, 0.0000], [0.5000, 0.5000, 0.0000], [0.0000, 0.0000, 0.0000]],
  "crystal_system": "tetragonal",
  "total_magnetization_mub_per_cell": 0.00
}


Energies relative to the most stable structure, in kJ/mol of atoms: #w 0.0; #x 12.5.


#w
{
  "formula": "KBeSbTe2",
  "functional": "PBE",
  "state": "relaxed",
  "cell": [[-4.2833, 3.3333, 0.8764], [-1.0007, -2.5406, 4.7717], [2.8616, 3.0871, 2.2438]],
  "species": ["Te", "Te", "K", "Sb", "Be"],
  "frac_coords": [[0.0000, 0.5000, 0.0000], [0.5000, 0.0000, 0.0000], [0.5000, 0.5000, 0.5000], [0.0000, 0.0000, 0.5000], [0.0000, 0.0000, 0.0000]],
  "crystal_system": "tetragonal",
  "total_magnetization_mub_per_cell": 0.00
}


#x
{
  "formula": "KBeSbTe2",
  "functional": "PBE",
  "state": "relaxed",
  "cell": [[5.9957, 0.0000, 0.0000], [0.0000, 5.9957, 0.0000], [0.0000, 0.0000, 5.9646]],
  "species": ["Be", "K", "Te", "Te", "Sb"],
  "frac_coords": [[0.5000, 0.5000, 0.5000], [0.0000, 0.0000, 0.0000], [0.5000, 0.0000, 0.0000], [0.0000, 0.5000, 0.0000], [0.0000, 0.0000, 0.5000]],
  "crystal_system": "tetragonal",
  "total_magnetization_mub_per_cell": 0.00
}


Energies relative to the most stable structure, in kJ/mol of atoms: #w 0.0; #x 145.0.


#w
{
  "formula": "K3ScBe",
  "functional": "PBE",
  "state": "relaxed",
  "cell": [[6.3388, 0.0000, 0.0000], [0.0000, 6.3388, 0.0000], [0.0000, 0.0000, 6.3388]],
  "species": ["Be", "K", "K", "K", "Sc"],
  "frac_coords": [[0.0000, 0.0000, 0.0000], [0.0000, 0.0000, 0.5000], [0.5000, 0.0000, 0.0000], [0.0000, 0.5000, 0.0000], [0.5000, 0.5000, 0.5000]],
  "crystal_system": "cubic",
  "total_magnetization_mub_per_cell": 1.44
}


#x
{
  "formula": "K3ScBe",
  "functional": "PBE",
  "state": "relaxed",
  "cell": [[7.0591, 0.0000, 0.0000], [0.0000, 7.0591, 0.0000], [0.0000, 0.0000, 7.0591]],
  "species": ["K", "K", "K", "Sc", "Be"],
  "frac_coords": [[0.5000, 0.0000, 0.0000], [0.0000, 0.0000, 0.5000], [0.0000, 0.5000, 0.0000], [0.0000, 0.0000, 0.0000], [0.5000, 0.5000, 0.5000]],
  "crystal_system": "cubic",
  "total_magnetization_mub_per_cell": 3.57
}


Energies relative to the most stable structure, in kJ/mol of atoms: #w 0.0; #x 32.4.